Ti3VZn: optimized geometry, PBE.

Cell: 4.544 4.544 4.544 Å, 90.00 90.00 90.00°
Fractional positions:
Zn 0.500 0.500 0.500
V 0.000 0.000 0.000
Ti 0.000 0.500 0.000
Ti 0.000 0.000 0.500
Ti 0.500 0.000 0.000

Density of states at the Fermi level   7.04 states/eV per cell
Offset from the most stable computed form   702 meV/atom
Space group   Pm-3m, No. 221

K2LaSiRu: optimized geometry, PBE.

Cell: 6.941 5.301 6.941 Å, 90.00 90.00 90.00°
Fractional positions:
Ru 0.500 0.500 0.500
K 0.000 0.000 0.500
K 0.500 0.000 0.000
Si 0.000 0.500 0.000
La 0.000 0.000 0.000

Density of states at the Fermi level   5.81 states/eV per cell
Space group   P4/mmm, No. 123
Total DFT energy (no corrections)   -13.37 eV per cell

Li2Dy2ErIn5: optimized geometry, PBE.

Cell: 4.406 10.284 10.284 Å, 90.00 90.00 90.00°
Fractional positions:
Li 0.000 0.119 0.619
Li 0.000 0.881 0.381
Li 0.000 0.619 0.881
Li 0.000 0.381 0.119
Dy 0.000 0.675 0.175
Dy 0.000 0.325 0.825
Dy 0.000 0.175 0.325
Dy 0.000 0.825 0.675
Er 0.000 0.000 0.000
Er 0.000 0.500 0.500
In 0.500 0.211 0.074
In 0.500 0.789 0.926
In 0.500 0.074 0.789
In 0.500 0.711 0.426
In 0.500 0.926 0.211
In 0.500 0.289 0.574
In 0.500 0.574 0.711
In 0.500 0.426 0.289
In 0.500 0.500 0.000
In 0.500 0.000 0.500

Density of states at the Fermi level   10.73 states/eV per cell
Space group   P4/mbm, No. 127
Total DFT energy (no corrections)   -69.98 eV per cell

Nd2Ga4Ir3Ru: optimized geometry, PBE.

Cell: 4.379 4.379 9.918 Å, 90.00 90.00 90.00°
Fractional positions:
Nd 0.500 0.000 0.268
Nd 0.000 0.500 0.732
Ga 0.500 0.500 0.000
Ga 0.000 0.000 0.000
Ga 0.500 0.000 0.623
Ga 0.000 0.500 0.377
Ir 0.000 0.000 0.500
Ir 0.500 0.000 0.873
Ir 0.000 0.500 0.127
Ru 0.500 0.500 0.500

Density of states at the Fermi level   5.13 states/eV per cell
Space group   P-4m2, No. 115
Total DFT energy (no corrections)   -63.90 eV per cell

Na2ZrNbIn: optimized geometry, PBE.

Cell: 5.091 5.336 5.091 Å, 90.00 90.00 90.00°
Fractional positions:
Na 0.000 0.000 0.500
Na 0.500 0.000 0.000
Nb 0.000 0.000 0.000
Zr 0.500 0.500 0.500
In 0.000 0.500 0.000

Density of states at the Fermi level   2.15 states/eV per cell
Space group   P4/mmm, No. 123
Total DFT energy (no corrections)   -16.31 eV per cell

Ba2Li4Au: optimized geometry, PBE.

Cell: 5.131 5.131 9.866 Å, 74.93 74.93 90.00°
Fractional positions:
Au 0.000 0.000 0.000
Ba 0.657 0.657 0.687
Ba 0.343 0.343 0.313
Li 0.866 0.866 0.268
Li 0.134 0.134 0.732
Li 0.000 0.500 0.000
Li 0.500 0.000 0.000

Density of states at the Fermi level   6.91 states/eV per cell
Space group   I4/mmm, No. 139
Total DFT energy (no corrections)   -15.40 eV per cell

TbHoGaPt: optimized geometry, PBE.

Cell: 3.773 4.446 5.774 Å, 90.00 109.07 90.00°
Fractional positions:
Tb 0.142 0.000 0.285
Ho 0.859 0.500 0.717
Ga 0.422 0.000 0.844
Pt 0.577 0.500 0.154

Density of states at the Fermi level   2.90 states/eV per cell
Offset from the most stable computed form   0 meV/atom
Space group   Amm2, No. 38

no.,total magnetic moment (μB per formula unit)
1,0.0
2,2.5
3,0.0
4,0.0
5,0.0
6,0.0
7,0.0